[1]
## GdMgAgSeS2 (PBE)

Data for a relaxed structure of GdMgAgSeS2.

abc: 6.7374 6.7374 10.8034
angles: 90.00 90.00 147.01
With the nearest neighbours (Å) after each atom.
Atoms (fractional coordinates):
Gd (0.0000, 0.0000, 0.0000)  4 S 2.77
Gd (0.0000, 0.0000, 0.5000)  4 S 2.77
Mg (0.2175, 0.7825, 0.7500)  2 Se 2.78, 4 S 2.85
Mg (0.7825, 0.2175, 0.2500)  2 Se 2.78, 4 S 2.85
Ag (0.4862, 0.5138, 0.2500)  2 S 2.49, 2 Se 2.64
Ag (0.5138, 0.4862, 0.7500)  2 S 2.49, 2 Se 2.64
Se (0.1266, 0.8734, 0.2500)  2 Ag 2.64, 2 Mg 2.78
Se (0.8734, 0.1266, 0.7500)  2 Ag 2.64, 2 Mg 2.78
S (0.3589, 0.6411, 0.0768)  1 Ag 2.49, 2 Gd 2.77
S (0.3589, 0.6411, 0.4232)  1 Ag 2.49, 2 Gd 2.77
S (0.6411, 0.3589, 0.5768)  1 Ag 2.49, 2 Gd 2.77
S (0.6411, 0.3589, 0.9232)  1 Ag 2.49, 2 Gd 2.77

DFT total energy: -55.209 eV per cell
V: 22.25 Å³/atom

---

[2]
## GdMgAgSe3 (PBE)

Data for a relaxed structure of GdMgAgSe3.

abc: 6.8915 6.8915 10.8329
angles: 90.00 90.00 146.90
With the nearest neighbours (Å) after each atom.
Atoms (fractional coordinates):
Gd (0.0000, 0.0000, 0.0000)  6 Se 2.89-3.13
Gd (0.0000, 0.0000, 0.5000)  6 Se 2.89-3.13
Mg (0.2290, 0.7710, 0.7500)  6 Se 2.81-2.95
Mg (0.7710, 0.2290, 0.2500)  6 Se 2.81-2.95
Ag (0.4822, 0.5178, 0.2500)  4 Se 2.60-2.66
Ag (0.5178, 0.4822, 0.7500)  4 Se 2.60-2.66
Se (0.1184, 0.8816, 0.2500)  2 Ag 2.66, 2 Mg 2.81
Se (0.3503, 0.6497, 0.0717)  1 Ag 2.60, 2 Gd 2.89
Se (0.3503, 0.6497, 0.4283)  1 Ag 2.60, 2 Gd 2.89
Se (0.6497, 0.3503, 0.5717)  1 Ag 2.60, 2 Gd 2.89
Se (0.6497, 0.3503, 0.9283)  1 Ag 2.60, 2 Gd 2.89
Se (0.8816, 0.1184, 0.7500)  2 Ag 2.66, 2 Mg 2.81

DFT total energy: -51.966 eV per cell
V: 23.41 Å³/atom

---

[3]
## GdMgAgSe3 (PBE)

Data for a relaxed structure of GdMgAgSe3.

abc: 7.7550 3.9679 9.4381
angles: 90.00 101.65 90.00
With the nearest neighbours (Å) after each atom.
Atoms (fractional coordinates):
Gd (0.1840, 0.2500, 0.1723)  6 Se 2.88-2.99
Gd (0.8160, 0.7500, 0.8277)  6 Se 2.88-2.99
Mg (0.2775, 0.7500, 0.7172)  6 Se 2.88-2.97, 1 Ag 3.10
Mg (0.7225, 0.2500, 0.2828)  6 Se 2.88-2.97, 1 Ag 3.10
Ag (0.3949, 0.7500, 0.4218)  3 Se 2.61-2.66, 2 Ag 2.79
Ag (0.6051, 0.2500, 0.5782)  3 Se 2.61-2.66, 2 Ag 2.79
Se (0.0945, 0.2500, 0.8523)  2 Mg 2.88, 3 Gd 2.91-2.96
Se (0.1994, 0.2500, 0.4917)  2 Ag 2.66, 2 Mg 2.88
Se (0.4491, 0.7500, 0.1578)  1 Ag 2.61, 2 Gd 2.88
Se (0.5509, 0.2500, 0.8422)  1 Ag 2.61, 2 Gd 2.88
Se (0.8006, 0.7500, 0.5083)  2 Ag 2.66, 2 Mg 2.88
Se (0.9055, 0.7500, 0.1477)  2 Mg 2.88, 3 Gd 2.91-2.96

DFT total energy: -52.274 eV per cell
V: 23.70 Å³/atom

---

[4]
## GdMgAgTeSe2 (PBE)

Data for a relaxed structure of GdMgAgTeSe2.

abc: 7.1351 7.1351 11.1521
angles: 90.00 90.00 147.59
With the nearest neighbours (Å) after each atom.
Atoms (fractional coordinates):
Gd (0.0000, 0.0000, 0.0000)  4 Se 2.91
Gd (0.0000, 0.0000, 0.5000)  4 Se 2.91
Mg (0.2037, 0.7963, 0.7500)  4 Se 2.93, 2 Te 3.07, 2 Ag 3.24
Mg (0.7963, 0.2037, 0.2500)  4 Se 2.93, 2 Te 3.07, 2 Ag 3.24
Ag (0.4833, 0.5167, 0.2500)  2 Se 2.62, 2 Te 2.79
Ag (0.5167, 0.4833, 0.7500)  2 Se 2.62, 2 Te 2.79
Te (0.1260, 0.8740, 0.2500)  2 Ag 2.79, 2 Mg 3.07
Te (0.8740, 0.1260, 0.7500)  2 Ag 2.79, 2 Mg 3.07
Se (0.3573, 0.6427, 0.0728)  1 Ag 2.62, 2 Gd 2.91, 2 Mg 2.93
Se (0.3573, 0.6427, 0.4272)  1 Ag 2.62, 2 Gd 2.91, 2 Mg 2.93
Se (0.6427, 0.3573, 0.5728)  1 Ag 2.62, 2 Gd 2.91, 2 Mg 2.93
Se (0.6427, 0.3573, 0.9272)  1 Ag 2.62, 2 Gd 2.91, 2 Mg 2.93

DFT total energy: -50.247 eV per cell
V: 25.36 Å³/atom